Material: Ta2CuSi
Method: DFT, PBE
State: relaxed

Values from the calculation:
As for the raw total energy: -8.002 eV per atom. As for the density of states at the Fermi level: 3.9 states/eV/f.u. The magnetic moment comes out at 0.0000 μB/atom.

Unit cell a=4.4636 b=4.4636 c=4.4636 alpha=60.00 beta=60.00 gamma=60.00
Closest atoms and distances in Å follow each position.
Element x y z (fractional)
Si: 0.7500 0.7500 0.7500  4 Cu 2.73, 4 Ta 2.73
Ta: 0.0000 0.0000 0.0000  4 Ta 2.73, 4 Si 2.73
Ta: 0.2500 0.2500 0.2500  4 Ta 2.73, 4 Cu 2.73
Cu: 0.5000 0.5000 0.5000  4 Si 2.73, 4 Ta 2.73